# 1
This record from OQMD describes NdGa4Pd6 after structural relaxation. The functional is PBE.

Output
total energy: -5.128 eV per atom
space-group type: P-6m2 (187)
total moment: 0.00 μB per formula unit
volume: 16.95 A^3/atom

The structure in POSCAR format:
```
NdGa4Pd6
1.0
7.3733 0.0000 0.0000
-3.6866 6.3855 0.0000
0.0000 0.0000 3.9597
Ga Pd Nd
4 6 1
Direct
0.3333 0.6667 0.0000
0.8001 0.1999 0.5000
0.3998 0.1999 0.5000
0.8001 0.6002 0.5000
0.5338 0.4662 0.0000
0.5338 0.0675 0.0000
0.1992 0.3985 0.5000
0.9325 0.4662 0.0000
0.6015 0.8008 0.5000
0.1992 0.8008 0.5000
0.0000 0.0000 0.0000
```

---

# 2
This record from OQMD describes Nd2Ga5Pd3 after structural relaxation. The functional is PBE.

Output
total energy: -4.813 eV per atom
space-group type: Ibam (72)
total moment: 0.01 μB per formula unit
volume: 19.33 A^3/atom

The structure in POSCAR format:
```
Nd2Ga5Pd3
1.0
-5.1705 6.4023 2.9203
5.1705 -6.4023 2.9203
5.1705 6.4023 -2.9203
Pd Nd Ga
6 4 10
Direct
0.1430 0.4022 0.5453
0.6430 0.0978 0.7408
0.3570 0.9022 0.2592
0.7500 0.7500 0.0000
0.8570 0.5978 0.4547
0.2500 0.2500 0.0000
0.1365 0.7262 0.8628
0.6365 0.7738 0.4103
0.8635 0.2738 0.1372
0.3635 0.2262 0.5897
0.9015 0.8354 0.7369
0.5391 0.7500 0.7891
0.9609 0.7500 0.2109
0.7500 0.2500 0.5000
0.0985 0.1646 0.2631
0.2500 0.7500 0.5000
0.4609 0.2500 0.2109
0.0391 0.2500 0.7891
0.4015 0.6646 0.0661
0.5985 0.3354 0.9339
```

---

# 3
This record from OQMD describes NdGaPd2 after structural relaxation. The functional is PBE.

Output
total energy: -5.396 eV per atom
space-group type: Pnma (62)
total moment: 0.00 μB per formula unit
volume: 19.56 A^3/atom

The structure in POSCAR format:
```
NdGaPd2
1.0
7.5772 0.0000 0.0000
0.0000 7.1745 0.0000
0.0000 0.0000 5.7575
Pd Nd Ga
8 4 4
Direct
0.6790 0.9468 0.9116
0.1790 0.9468 0.5884
0.6790 0.5532 0.9116
0.3210 0.4468 0.0884
0.1790 0.5532 0.5884
0.8210 0.0532 0.4116
0.8210 0.4468 0.4116
0.3210 0.0532 0.0884
0.9666 0.2500 0.8533
0.4666 0.2500 0.6467
0.5334 0.7500 0.3533
0.0334 0.7500 0.1467
0.1181 0.2500 0.3523
0.3819 0.7500 0.8523
0.6181 0.2500 0.1477
0.8819 0.7500 0.6477
```

---

# 4
This record from OQMD describes NdGa2Pd2 after structural relaxation. The functional is PBE.

Output
total energy: -5.018 eV per atom
space-group type: I4/mmm (139)
total moment: 0.00 μB per formula unit
volume: 19.45 A^3/atom

The structure in POSCAR format:
```
NdGa2Pd2
1.0
0.0692 -0.5260 6.0745
2.0476 4.5784 3.4680
-3.8592 -0.8734 -4.6395
Ga Pd Nd
2 2 1
Direct
0.6226 0.6226 0.0000
0.3774 0.3774 0.0000
0.7500 0.2500 0.5000
0.2500 0.7500 0.5000
0.0000 0.0000 0.0000
```

---

# 5
This record from OQMD describes Nd2GaPd after structural relaxation. The functional is PBE.

Output
total energy: -5.099 eV per atom
space-group type: Amm2 (38)
total moment: 0.07 μB per formula unit
volume: 25.56 A^3/atom

The structure in POSCAR format:
```
Nd2GaPd
1.0
4.5287 0.0000 0.0000
0.0000 1.9900 5.6719
0.0000 -1.9900 5.6719
Pd Ga Nd
1 1 2
Direct
0.5000 0.9274 0.9274
0.0000 0.0736 0.0736
0.5000 0.6398 0.6398
0.0000 0.3592 0.3592
```

---

# 6
This record from OQMD describes NdGaPd after structural relaxation. The functional is PBE.

Output
total energy: -5.169 eV per atom
space-group type: Pnma (62)
total moment: 0.00 μB per formula unit
volume: 21.14 A^3/atom

The structure in POSCAR format:
```
NdGaPd
1.0
-4.2037 -1.4727 5.6093
-3.5091 -0.7442 -2.8252
1.9770 -7.4860 -0.4838
Nd Pd Ga
4 4 4
Direct
0.5206 0.7500 0.3039
0.0206 0.7500 0.1961
0.9794 0.2500 0.8039
0.4794 0.2500 0.6961
0.7866 0.7500 0.5963
0.2866 0.7500 0.9037
0.7134 0.2500 0.0963
0.2134 0.2500 0.4037
0.8309 0.2500 0.4239
0.1691 0.7500 0.5761
0.3309 0.2500 0.0761
0.6691 0.7500 0.9239
```

---

# 7
This record from OQMD describes NdGa2Pd after structural relaxation. The functional is PBE.

Output
total energy: -4.748 eV per atom
space-group type: Cmmm (65)
total moment: 0.01 μB per formula unit
volume: 20.96 A^3/atom

The structure in POSCAR format:
```
NdGa2Pd
1.0
2.1437 -9.1932 0.0000
2.1437 9.1932 0.0000
0.0000 0.0000 4.2533
Pd Ga Nd
2 4 2
Direct
0.0789 0.9211 0.5000
0.9211 0.0789 0.5000
0.7857 0.2143 0.5000
0.5000 0.5000 0.5000
0.2143 0.7857 0.5000
0.0000 0.0000 0.0000
0.3560 0.6440 0.0000
0.6440 0.3560 0.0000
```

---

# 8
This record from OQMD describes NdGaPd2 after structural relaxation. The functional is PBE.

Output
total energy: -5.315 eV per atom
space-group type: Pmma (51)
total moment: 0.01 μB per formula unit
volume: 20.33 A^3/atom

The structure in POSCAR format:
```
NdGaPd2
1.0
-0.3218 4.0639 3.8586
2.9198 -2.0916 2.4463
4.9240 3.2950 -3.0596
Ga Pd Nd
2 4 2
Direct
0.7500 0.0000 0.3555
0.2500 0.0000 0.6445
0.5000 0.0000 0.0000
0.0000 0.0000 0.0000
0.7500 0.5000 0.1713
0.2500 0.5000 0.8287
0.7500 0.5000 0.7129
0.2500 0.5000 0.2871
```

---

# 9
This record from OQMD describes Nd2Ga12Pd after structural relaxation. The functional is PBE.

Output
total energy: -3.834 eV per atom
space-group type: P4/nbm (125)
total moment: 0.00 μB per formula unit
volume: 19.42 A^3/atom

The structure in POSCAR format:
```
Nd2Ga12Pd
1.0
6.1135 0.0000 0.0000
0.0000 6.1135 0.0000
0.0000 0.0000 15.5850
Ga Nd Pd
24 4 2
Direct
0.2503 0.7503 0.9112
0.8249 0.6751 0.4291
0.7497 0.7503 0.0888
0.0000 0.0000 0.6576
0.1751 0.6751 0.5709
0.6751 0.1751 0.4291
0.2503 0.2497 0.0888
0.0000 0.0000 0.3424
0.5000 0.5000 0.8148
0.5000 0.5000 0.6576
0.5000 0.5000 0.1852
0.8249 0.3249 0.5709
0.6751 0.8249 0.5709
0.5000 0.5000 0.3424
0.1751 0.3249 0.4291
0.0000 0.0000 0.8148
0.7503 0.7497 0.9112
0.7497 0.2497 0.9112
0.3249 0.1751 0.5709
0.3249 0.8249 0.4291
0.2497 0.2503 0.9112
0.0000 0.0000 0.1852
0.2497 0.7497 0.0888
0.7503 0.2503 0.0888
0.0000 0.5000 0.7530
0.5000 0.0000 0.7530
0.0000 0.5000 0.2470
0.5000 0.0000 0.2470
0.5000 0.0000 0.0000
0.0000 0.5000 0.0000
```

---

# 10
This record from OQMD describes PrNd2Ga2Pd4 after structural relaxation. The functional is PBE.

Output
total energy: -5.360 eV per atom
space-group type: C2/m (12)
total moment: 0.00 μB per formula unit
volume: 22.03 A^3/atom

The structure in POSCAR format:
```
PrNd2Ga2Pd4
1.0
5.1904 -2.1980 0.0000
5.1904 2.1980 0.0000
-1.2118 0.0000 8.6876
Pd Ga Pr Nd
4 2 1 2
Direct
0.2794 0.2794 0.9117
0.7206 0.7206 0.0883
0.0853 0.0853 0.6377
0.9147 0.9147 0.3623
0.3212 0.3212 0.2173
0.6788 0.6788 0.7827
0.0000 0.0000 0.0000
0.6231 0.6231 0.3841
0.3769 0.3769 0.6159
```

---

# 11
This record from OQMD describes PrNdGa2Pd4 after structural relaxation. The functional is PBE.

Output
total energy: -5.369 eV per atom
space-group type: P-6m2 (187)
total moment: 0.00 μB per formula unit
volume: 20.29 A^3/atom

The structure in POSCAR format:
```
PrNdGa2Pd4
1.0
4.4675 0.0000 0.0000
-2.2337 3.8689 0.0000
0.0000 0.0000 9.3935
Pr Ga Pd Nd
1 2 4 1
Direct
0.3333 0.6667 0.5000
0.0000 0.0000 0.7509
0.0000 0.0000 0.2491
0.6667 0.3333 0.6762
0.3333 0.6667 0.1733
0.6667 0.3333 0.3238
0.3333 0.6667 0.8267
0.6667 0.3333 0.0000
```

---

# 12
This record from OQMD describes NdGa2PdPt after structural relaxation. The functional is PBE.

Output
space-group type: P4/nmm (129)
E above lowest polymorph: 0.000 eV/atom
total moment: 0.01 μB per formula unit
volume: 19.44 A^3/atom

The structure in POSCAR format:
```
NdGa2PdPt
1.0
-2.5531 -2.6922 2.1667
0.7522 -3.0622 -2.9185
8.2646 -3.3199 5.6135
Ga Pd Nd Pt
4 2 2 2
Direct
0.0000 0.5000 0.8710
0.5000 0.0000 0.1290
0.0000 0.0000 0.5000
0.5000 0.5000 0.5000
0.5000 0.5000 0.0000
0.0000 0.0000 0.0000
0.0000 0.5000 0.2573
0.5000 0.0000 0.7427
0.5000 0.0000 0.3653
0.0000 0.5000 0.6347
```

---

# 13
This record from OQMD describes NdGa2PdPt after structural relaxation. The functional is PBE.

Output
space-group type: P4/nmm (129)
E above lowest polymorph: 0.047 eV/atom
total moment: 0.02 μB per formula unit
volume: 19.34 A^3/atom

The structure in POSCAR format:
```
NdGa2PdPt
1.0
4.2503 0.0000 0.0000
0.0000 4.2503 0.0000
0.0000 0.0000 10.7058
Ga Nd Pt Pd
4 2 2 2
Direct
0.0000 0.0000 0.5000
0.5000 0.5000 0.5000
0.0000 0.5000 0.8670
0.5000 0.0000 0.1330
0.5000 0.0000 0.7463
0.0000 0.5000 0.2537
0.5000 0.5000 0.0000
0.0000 0.0000 0.0000
0.5000 0.0000 0.3656
0.0000 0.5000 0.6344
```

---

# 14
This record from OQMD describes NdGaSiPd2 after structural relaxation. The functional is PBE.

Output
total energy: -5.602 eV per atom
space-group type: P4/nmm (129)
total moment: 0.01 μB per formula unit
volume: 18.70 A^3/atom

The structure in POSCAR format:
```
NdGaSiPd2
1.0
4.2748 0.0000 0.0000
0.0000 4.2748 0.0000
0.0000 0.0000 10.2353
Pd Si Nd Ga
4 2 2 2
Direct
0.0000 0.5000 0.6409
0.5000 0.5000 0.0000
0.5000 0.0000 0.3591
0.0000 0.0000 0.0000
0.5000 0.0000 0.1255
0.0000 0.5000 0.8745
0.5000 0.0000 0.7515
0.0000 0.5000 0.2485
0.5000 0.5000 0.5000
0.0000 0.0000 0.5000
```

---

# 15
This record from OQMD describes Nd2GaSnPd4 after structural relaxation. The functional is PBE.

Output
total energy: -5.488 eV per atom
space-group type: P-3m1 (164)
total moment: 0.02 μB per formula unit
volume: 21.01 A^3/atom

The structure in POSCAR format:
```
Nd2GaSnPd4
1.0
4.5650 0.0000 0.0000
-2.2825 3.9534 0.0000
0.0000 0.0000 9.3136
Sn Pd Nd Ga
1 4 2 1
Direct
0.0000 0.0000 0.5000
0.3333 0.6667 0.9260
0.6667 0.3333 0.0740
0.6667 0.3333 0.4150
0.3333 0.6667 0.5850
0.6667 0.3333 0.7539
0.3333 0.6667 0.2461
0.0000 0.0000 0.0000
```

---

# 16
This record from OQMD describes NdTmGa2Pd4 after structural relaxation. The functional is PBE.

Output
total energy: -5.371 eV per atom
space-group type: P-6m2 (187)
total moment: 0.00 μB per formula unit
volume: 19.35 A^3/atom

The structure in POSCAR format:
```
NdTmGa2Pd4
1.0
-4.3251 -0.1096 -0.9319
1.4060 -0.9276 4.0926
-0.7062 8.8164 2.2408
Nd Pd Tm Ga
1 4 1 2
Direct
0.3333 0.6667 0.5000
0.3333 0.6667 0.1622
0.3333 0.6667 0.8378
0.0000 0.0000 0.6808
0.0000 0.0000 0.3192
0.0000 0.0000 0.0000
0.6667 0.3333 0.2437
0.6667 0.3333 0.7563
```

---

# 17
This record from OQMD describes NdYGa2Pd4 after structural relaxation. The functional is PBE.

Output
total energy: -5.612 eV per atom
space-group type: P-6m2 (187)
total moment: 0.01 μB per formula unit
volume: 19.61 A^3/atom

The structure in POSCAR format:
```
NdYGa2Pd4
1.0
-2.4346 3.6620 0.5644
-0.3404 -2.3313 -3.7558
-6.7328 -5.0536 3.7470
Pd Ga Nd Y
4 2 1 1
Direct
0.0000 0.0000 0.3334
0.0000 0.0000 0.6666
0.6667 0.3333 0.8225
0.6667 0.3333 0.1775
0.3333 0.6667 0.2552
0.3333 0.6667 0.7449
0.0000 0.0000 0.0000
0.6667 0.3333 0.5000
```

---

# 18
This record from OQMD describes PrNdGa3 after structural relaxation. The functional is PBE.

Output
total energy: -4.381 eV per atom
space-group type: Cmcm (63)
total moment: 0.00 μB per formula unit
volume: 24.50 A^3/atom

The structure in POSCAR format:
```
PrNdGa3
1.0
-6.3507 8.0280 -8.5233
5.4202 -10.9221 5.3624
-3.6936 -0.8962 1.9080
Ga Nd Pr
6 2 2
Direct
0.6727 0.3273 0.2500
0.4764 0.5236 0.2500
0.5236 0.4764 0.7500
0.3818 0.6182 0.2500
0.6182 0.3818 0.7500
0.3273 0.6727 0.7500
0.2029 0.7971 0.7500
0.7971 0.2029 0.2500
0.9279 0.0721 0.7500
0.0721 0.9279 0.2500
```

---

# 19
This record from OQMD describes PrNdGa after structural relaxation. The functional is PBE.

Output
space-group type: F-43m (216)
E above lowest polymorph: 0.000 eV/atom
total moment: 0.55 μB per formula unit
volume: 31.66 A^3/atom

The structure in POSCAR format:
```
PrNdGa
1.0
-2.7024 -1.3975 4.1200
-5.1188 0.0226 -0.1666
-2.5813 -4.4234 -0.0103
Ga Pr Nd
1 1 1
Direct
0.0000 0.0000 0.0000
0.7500 0.7500 0.7500
0.2500 0.2500 0.2500
```

---

# 20
This record from OQMD describes PrNdGa6 after structural relaxation. The functional is PBE.

Output
total energy: -4.045 eV per atom
space-group type: P-6m2 (187)
total moment: 0.00 μB per formula unit
volume: 20.80 A^3/atom

The structure in POSCAR format:
```
PrNdGa6
1.0
6.4925 0.0000 0.0000
-3.2462 5.6227 0.0000
0.0000 0.0000 4.5589
Ga Pr Nd
6 1 1
Direct
0.8099 0.1901 0.5000
0.3802 0.1901 0.5000
0.5242 0.0483 0.0000
0.5242 0.4758 0.0000
0.9517 0.4758 0.0000
0.8099 0.6198 0.5000
0.3333 0.6667 0.5000
0.0000 0.0000 0.0000
```